1.
LaAg2SnGe, optimized geometry, DFT PBE; crystal system = tetragonal; raw total energy = -4.291 eV per atom; space-group type = I4mm; total magnetization = 0.0 μB/cell
1.0
-2.2419 2.2419 5.7661
2.2419 -2.2419 5.7661
2.2419 2.2419 -5.7661
La Ag Sn Ge
1 2 1 1
Cartesian
0.0000 0.0000 0.0000 La
2.2419 0.0000 2.6978 Ag
0.0000 2.2419 2.6978 Ag
0.0000 0.0000 4.3711 Sn
0.0000 0.0000 7.0195 Ge



2.
LaTcAgGe2, optimized geometry, DFT PBE; crystal system = tetragonal; raw total energy = -5.815 eV per atom; space-group type = I-4m2; total magnetization = 0.0 μB/cell
1.0
-2.1230 2.1230 5.5771
2.1230 -2.1230 5.5771
2.1230 2.1230 -5.5771
La Tc Ag Ge
1 1 1 2
Cartesian
0.0000 0.0000 0.0000 La
0.0000 2.1230 2.7886 Tc
2.1230 0.0000 2.7886 Ag
0.0000 0.0000 4.2299 Ge
0.0000 0.0000 6.9244 Ge